# 1
# NbSe4 | Alexandria | PBE-GGA | relaxed
data_NbSe4
_chemical_formula_sum 'Nb12 Se48'
_space_group_name_H-M_alt 'P 4/n c c'
_space_group_IT_number 130
_cell_length_a 8.436
_cell_length_b 8.436
_cell_length_c 19.665
_cell_angle_alpha 90.00
_cell_angle_beta 90.00
_cell_angle_gamma 90.00
loop_
_space_group_symop_operation_xyz
'x,y,z'
'-x,-y,-z'
'-y+1/2,x,z'
'y+1/2,-x,-z'
'-x+1/2,-y+1/2,z'
'x+1/2,y+1/2,-z'
'y,-x+1/2,z'
'-y,x+1/2,-z'
'x+1/2,-y,-z+1/2'
'-x+1/2,y,z+1/2'
'-y,-x,-z+1/2'
'y,x,z+1/2'
'-x,y+1/2,-z+1/2'
'x,-y+1/2,z+1/2'
'y+1/2,x+1/2,-z+1/2'
'-y+1/2,-x+1/2,z+1/2'
loop_
_atom_site_label
_atom_site_fract_x
_atom_site_fract_y
_atom_site_fract_z
Nb1 0.250 0.250 0.072
Nb2 0.250 0.250 0.262
Nb3 0.250 0.250 0.416
Se1 0.004 0.159 0.335
Se2 0.009 0.150 0.998
Se3 0.033 0.144 0.666
# - Size of the total moment: 0.000 μB per cell
# - Total energy: -5.3422 eV per atom
# - Energy relative to the elements, uncorrected: -0.541 eV/atom
# - Crystal system: tetragonal

# 2
# YScS | Alexandria | PBE-GGA | relaxed
data_YScS
_chemical_formula_sum 'Y2 Sc2 S2'
_space_group_name_H-M_alt 'P m m n'
_space_group_IT_number 59
_cell_length_a 3.722
_cell_length_b 5.132
_cell_length_c 7.371
_cell_angle_alpha 90.00
_cell_angle_beta 90.00
_cell_angle_gamma 90.00
loop_
_space_group_symop_operation_xyz
'x,y,z'
'-x,-y,-z'
'-x+1/2,-y+1/2,z'
'x+1/2,y+1/2,-z'
'x+1/2,-y,-z'
'-x+1/2,y,z'
'-x,y+1/2,-z'
'x,-y+1/2,z'
loop_
_atom_site_label
_atom_site_fract_x
_atom_site_fract_y
_atom_site_fract_z
Y1 0.250 0.250 0.117
Sc1 0.250 0.250 0.620
S1 0.250 0.750 0.615
# - Size of the total moment: 0.000 μB per cell
# - Total energy: -6.8945 eV per atom
# - Energy relative to the elements, uncorrected: -1.253 eV/atom
# - Energy relative to the lowest polymorph listed for this composition: 0.000 eV per atom
# - Crystal system: orthorhombic

# 3
# Sr4TlAs | Alexandria | PBE-GGA | relaxed
data_Sr4TlAs
_chemical_formula_sum 'Sr16 Tl4 As4'
_space_group_name_H-M_alt 'F -4 3 m'
_space_group_IT_number 216
_space_group_name_Hall 'F -4 2 3'
_cell_length_a 9.857
_cell_length_b 9.857
_cell_length_c 9.857
_cell_angle_alpha 90.00
_cell_angle_beta 90.00
_cell_angle_gamma 90.00
loop_
_atom_site_label
_atom_site_fract_x
_atom_site_fract_y
_atom_site_fract_z
Sr1 0.124 0.124 0.376
Tl1 0.000 0.000 0.000
As1 0.250 0.250 0.750
# - Size of the total moment: 0.001 μB per cell
# - Total energy: -1.9737 eV per atom
# - Crystal system: cubic
# - Formation energy from the elements: 1.90 eV per formula unit

# 4
# ZrZn2Ir | Alexandria | PBE-GGA | relaxed
data_ZrZn2Ir
_chemical_formula_sum 'Zr1 Zn2 Ir1'
_space_group_name_H-M_alt 'P 4 m m'
_space_group_IT_number 99
_cell_length_a 3.094
_cell_length_b 3.094
_cell_length_c 6.930
_cell_angle_alpha 90.00
_cell_angle_beta 90.00
_cell_angle_gamma 90.00
loop_
_space_group_symop_operation_xyz
'x,y,z'
'-y,x,z'
'-x,-y,z'
'y,-x,z'
'-x,y,z'
'y,x,z'
'x,-y,z'
'-y,-x,z'
loop_
_atom_site_label
_atom_site_fract_x
_atom_site_fract_y
_atom_site_fract_z
Zr1 0.000 0.000 0.000
Zn1 0.000 0.000 0.471
Zn2 0.500 0.500 0.695
Ir1 0.500 0.500 0.249
# - Size of the total moment: 0.000 μB per cell
# - Total energy: -5.3403 eV per atom
# - Crystal system: tetragonal
# - Formation energy from the elements: -1.40 eV per formula unit

# 5
# LuTiAlAg | Alexandria | PBE-GGA | relaxed
data_LuTiAlAg
_chemical_formula_sum 'Lu4 Ti4 Al4 Ag4'
_space_group_name_H-M_alt 'F -4 3 m'
_space_group_IT_number 216
_space_group_name_Hall 'F -4 2 3'
_cell_length_a 6.825
_cell_length_b 6.825
_cell_length_c 6.825
_cell_angle_alpha 90.00
_cell_angle_beta 90.00
_cell_angle_gamma 90.00
loop_
_atom_site_label
_atom_site_fract_x
_atom_site_fract_y
_atom_site_fract_z
Lu1 0.000 0.000 0.000
Ti1 0.000 0.000 0.500
Al1 0.250 0.250 0.750
Ag1 0.250 0.250 0.250
# - Size of the total moment: 5.115 μB per cell
# - Total energy: -4.8987 eV per atom
# - Crystal system: cubic
# - Formation energy from the elements: -0.59 eV per formula unit

# 6
# ZnSbPt2 | Alexandria | PBE-GGA | relaxed
data_ZnSbPt2
_chemical_formula_sum 'Zn4 Sb4 Pt8'
_space_group_name_H-M_alt 'I -4 2 d'
_space_group_IT_number 122
_space_group_name_Hall 'I -4 2bw'
_cell_length_a 5.851
_cell_length_b 5.851
_cell_length_c 11.598
_cell_angle_alpha 90.00
_cell_angle_beta 90.00
_cell_angle_gamma 90.00
loop_
_atom_site_label
_atom_site_fract_x
_atom_site_fract_y
_atom_site_fract_z
Zn1 0.000 0.000 0.000
Sb1 0.000 0.000 0.500
Pt1 0.238 0.250 0.125
# - Size of the total moment: 0.000 μB per cell
# - Total energy: -4.3571 eV per atom
# - Energy relative to the elements, uncorrected: 0.012 eV/atom
# - Crystal system: tetragonal